1.
InAgBi: optimized geometry, PBE.

Spin magnetization (μB/f.u.): 0.000
Space group: No. 38
Formation energy (eV per atom): 0.08
VASP energy (eV/atom): -3.077

Unit cell a=15.2648 b=3.4178 c=5.9209 alpha=90.00 beta=90.00 gamma=90.00
Sites, in units of the cell vectors:
In1 0.0000 0.0000 0.0000
In2 0.0000 0.5000 0.5000
In3 0.5000 0.0000 0.3298
In4 0.5000 0.5000 0.8298
Ag1 0.1434 0.0000 0.3330
Ag2 0.1434 0.5000 0.8330
Ag3 0.8566 0.0000 0.3330
Ag4 0.8566 0.5000 0.8330
Bi1 0.3041 0.0000 0.9998
Bi2 0.3041 0.5000 0.4998
Bi3 0.6959 0.0000 0.9998
Bi4 0.6959 0.5000 0.4998

=====

2.
In2AgBi2: optimized geometry, PBE.

Spin magnetization (μB/f.u.): 0.000
Relative energy among the computed polymorphs (eV per atom): 0.000
Space group: No. 127
Formation energy (eV per atom): 0.12
VASP energy (eV/atom): -3.094

Unit cell a=7.7022 b=7.7022 c=5.1243 alpha=90.00 beta=90.00 gamma=90.00
Sites, in units of the cell vectors:
In1 0.1656 0.3344 0.0000
In2 0.3344 0.8344 0.0000
In3 0.6656 0.1656 0.0000
In4 0.8344 0.6656 0.0000
Ag1 0.0000 0.0000 0.5000
Ag2 0.5000 0.5000 0.5000
Bi1 0.1473 0.6473 0.5000
Bi2 0.3527 0.1473 0.5000
Bi3 0.6473 0.8527 0.5000
Bi4 0.8527 0.3527 0.5000

=====

3.
InAgBi: optimized geometry, PBE.

Spin magnetization (μB/f.u.): 0.000
Space group: No. 107
Formation energy (eV per atom): 0.07
VASP energy (eV/atom): -3.087

Unit cell a=3.3725 b=3.3725 c=13.4028 alpha=90.00 beta=90.00 gamma=90.00
Sites, in units of the cell vectors:
In1 0.0000 0.0000 0.0000
In2 0.5000 0.5000 0.5000
Ag1 0.0000 0.0000 0.3576
Ag2 0.5000 0.5000 0.8576
Bi1 0.0000 0.0000 0.7001
Bi2 0.5000 0.5000 0.2001

=====

4.
InAgBi: optimized geometry, PBE.

Spin magnetization (μB/f.u.): 0.000
Space group: No. 216
Formation energy (eV per atom): 0.05
VASP energy (eV/atom): -3.103

Unit cell a=6.9216 b=6.9216 c=6.9216 alpha=90.00 beta=90.00 gamma=90.00
Sites, in units of the cell vectors:
In1 0.0000 0.0000 0.0000
In2 0.0000 0.5000 0.5000
In3 0.5000 0.0000 0.5000
In4 0.5000 0.5000 0.0000
Ag1 0.2500 0.2500 0.7500
Ag2 0.2500 0.7500 0.2500
Ag3 0.7500 0.2500 0.2500
Ag4 0.7500 0.7500 0.7500
Bi1 0.0000 0.0000 0.5000
Bi2 0.0000 0.5000 0.0000
Bi3 0.5000 0.0000 0.0000
Bi4 0.5000 0.5000 0.5000

=====

5.
InAg3Bi: optimized geometry, PBE.

Spin magnetization (μB/f.u.): 0.000
Relative energy among the computed polymorphs (eV per atom): 0.000
Space group: No. 221
Formation energy (eV per atom): 0.48
VASP energy (eV/atom): -2.553

Unit cell a=5.4436 b=5.4436 c=5.4436 alpha=90.00 beta=90.00 gamma=90.00
Sites, in units of the cell vectors:
In1 0.0000 0.0000 0.0000
Ag1 0.0000 0.5000 0.5000
Ag2 0.5000 0.0000 0.5000
Ag3 0.5000 0.5000 0.0000
Bi1 0.5000 0.5000 0.5000

=====

6.
InAg6Bi: optimized geometry, PBE.

Spin magnetization (μB/f.u.): 0.000
Space group: No. 187
Formation energy (eV per atom): 0.02
VASP energy (eV/atom): -2.949

Unit cell a=6.1611 b=6.1611 c=4.8885 alpha=90.00 beta=90.00 gamma=120.00
Sites, in units of the cell vectors:
In1 0.0000 0.0000 0.0000
Ag1 0.3360 0.1680 0.5000
Ag2 0.5087 0.0175 0.0000
Ag3 0.5087 0.4913 0.0000
Ag4 0.8320 0.1680 0.5000
Ag5 0.8320 0.6640 0.5000
Ag6 0.9825 0.4913 0.0000
Bi1 0.3333 0.6667 0.5000

=====

7.
InAgBi2: optimized geometry, PBE.

Spin magnetization (μB/f.u.): 0.000
Space group: No. 122
Formation energy (eV per atom): 0.25
VASP energy (eV/atom): -3.091

Unit cell a=6.7141 b=6.7141 c=13.1012 alpha=90.00 beta=90.00 gamma=90.00
Sites, in units of the cell vectors:
In1 0.0000 0.0000 0.0000
In2 0.0000 0.5000 0.2500
In3 0.5000 0.0000 0.7500
In4 0.5000 0.5000 0.5000
Ag1 0.0000 0.0000 0.5000
Ag2 0.0000 0.5000 0.7500
Ag3 0.5000 0.0000 0.2500
Ag4 0.5000 0.5000 0.0000
Bi1 0.2293 0.2500 0.6250
Bi2 0.2500 0.7293 0.8750
Bi3 0.2500 0.7707 0.3750
Bi4 0.2707 0.2500 0.1250
Bi5 0.7293 0.7500 0.1250
Bi6 0.7500 0.2293 0.3750
Bi7 0.7500 0.2707 0.8750
Bi8 0.7707 0.7500 0.6250

=====

8.
InAg2Bi: optimized geometry, PBE.

Spin magnetization (μB/f.u.): 0.000
Space group: No. 160
Formation energy (eV per atom): 0.12
VASP energy (eV/atom): -2.965

Unit cell a=4.7025 b=4.7025 c=15.8706 alpha=90.00 beta=90.00 gamma=120.00
Sites, in units of the cell vectors:
In1 0.0000 0.0000 0.0000
In2 0.3333 0.6667 0.6667
In3 0.6667 0.3333 0.3333
Ag1 0.0000 0.0000 0.4118
Ag2 0.0000 0.0000 0.6054
Ag3 0.3333 0.6667 0.0785
Ag4 0.3333 0.6667 0.2721
Ag5 0.6667 0.3333 0.7451
Ag6 0.6667 0.3333 0.9387
Bi1 0.0000 0.0000 0.1953
Bi2 0.3333 0.6667 0.8620
Bi3 0.6667 0.3333 0.5286